Compound: HoMgScRh
Source: Alexandria
Functional: PBE
Structure: optimized geometry

Lattice parameters (Å, degrees): 3.425 3.425 7.433 90.00 90.00 90.00
Atoms (fractional coordinates):
Ho1 0.500 0.500 0.782
Mg1 0.000 0.000 0.091
Sc1 0.500 0.500 0.361
Rh1 0.000 0.000 0.551

Summary:
As for the total magnetization: 0.0 μB/f.u. The calculation puts the energy above the most stable polymorph in this dataset at 0 meV per atom. As for the formation energy: -2.06 eV per formula unit. The uncorrected energy is -21.9 eV per cell.